Entry from the Alexandria database: an optimized crystal structure of PaTeO (GGA-PBE).

Cell lengths 4.729, 3.919, 3.919 Å; angles 120.00, 90.00, 90.00 degrees
Last column: magnetic moment on the atom in μB.
Fractional coordinates of all 3 atoms:
O (0.167, 0.333, 0.667)  -0.02
Pa (0.167, 0.000, 0.000)  0.72
Te (0.667, 0.667, 0.333)  -0.03

Output
calculated volume = 21.0 Å³ per atom
crystal system = hexagonal
formation energy without anion corrections = -2.242 eV/atom
density of states at the Fermi level = 0.631 states/eV/atom

***

Entry from the Alexandria database: an optimized crystal structure of LiAc2In6Pd (GGA-PBE).

Cell lengths 7.299, 7.296, 7.225 Å; angles 60.17, 60.18, 90.01 degrees
Fractional coordinates of all 10 atoms:
In (0.258, 0.742, 0.000)
In (0.270, 0.270, 0.486)
In (0.730, 0.730, 0.514)
In (0.730, 0.730, 0.026)
In (0.270, 0.270, 0.974)
In (0.742, 0.258, 0.000)
Pd (0.000, 0.000, 0.000)
Li (0.500, 0.500, 0.000)
Ac (0.234, 0.765, 0.500)
Ac (0.766, 0.235, 0.500)

Output
calculated volume = 27.3 Å³ per atom
crystal system = monoclinic
ΔH_f (0 K) = -0.30 eV/atom
density of states at the Fermi level = 0.349 states/eV/atom

***

Entry from the Alexandria database: an optimized crystal structure of Dy3GaSeCl (GGA-PBE).

Cell lengths 3.887, 8.648, 11.052 Å; angles 123.75, 90.00, 90.00 degrees
Fractional coordinates of all 12 atoms:
Cl (0.750, 0.822, 0.448)
Cl (0.250, 0.178, 0.552)
Se (0.750, 0.269, 0.858)
Se (0.250, 0.731, 0.142)
Dy (0.750, 0.326, 0.478)
Dy (0.750, 0.503, 0.170)
Dy (0.250, 0.066, 0.904)
Dy (0.250, 0.497, 0.830)
Dy (0.250, 0.674, 0.522)
Dy (0.750, 0.934, 0.096)
Ga (0.750, 0.712, 0.761)
Ga (0.250, 0.288, 0.239)

Output
calculated volume = 25.7 Å³ per atom
crystal system = monoclinic
formation energy without anion corrections = -1.232 eV/atom
density of states at the Fermi level = 0.612 states/eV/atom

***

Entry from the Alexandria database: an optimized crystal structure of Zn2Cu3Pd3 (GGA-PBE).

Cell lengths 3.890, 3.995, 7.077 Å; angles 90.00, 90.00, 90.00 degrees
Fractional coordinates of all 8 atoms:
Zn (0.000, 0.000, 0.750)
Zn (0.000, 0.000, 0.250)
Pd (0.000, 0.500, 0.500)
Pd (0.500, 0.000, 0.000)
Pd (0.500, 0.000, 0.500)
Cu (0.500, 0.500, 0.756)
Cu (0.000, 0.500, 0.000)
Cu (0.500, 0.500, 0.244)

Output
calculated volume = 13.7 Å³ per atom
crystal system = orthorhombic
ΔH_f (0 K) = -0.31 eV/atom
density of states at the Fermi level = 0.272 states/eV/atom

***

Entry from the Alexandria database: an optimized crystal structure of Ba3SiSn (GGA-PBE).

Cell lengths 6.253, 6.253, 6.253 Å; angles 90.00, 90.00, 90.00 degrees
Last column: magnetic moment on the atom in μB.
Fractional coordinates of all 5 atoms:
Ba (0.000, 0.500, 0.000)  0.04
Ba (0.000, 0.000, 0.500)  0.03
Ba (0.500, 0.000, 0.000)  0.04
Sn (0.500, 0.500, 0.500)  0.25
Si (0.000, 0.000, 0.000)  0.05

Output
calculated volume = 48.9 Å³ per atom
crystal system = cubic
ΔE to the lowest computed polymorph = 0.000 eV per atom
formation energy without anion corrections = -0.103 eV/atom
density of states at the Fermi level = 1.820 states/eV/atom

***

Entry from the Alexandria database: an optimized crystal structure of ZrSc2Fe (GGA-PBE).

Cell lengths 5.694, 5.694, 4.916 Å; angles 64.41, 64.41, 33.57 degrees
Fractional coordinates of all 4 atoms:
Fe (0.246, 0.246, 0.254)
Sc (0.953, 0.953, 0.047)
Sc (0.751, 0.751, 0.749)
Zr (0.550, 0.550, 0.450)

Output
calculated volume = 19.7 Å³ per atom
crystal system = orthorhombic
ΔE to the lowest computed polymorph = 0.024 eV per atom
ΔH_f (0 K) = -0.08 eV/atom
density of states at the Fermi level = 0.918 states/eV/atom

***

Entry from the Alexandria database: an optimized crystal structure of Cs2SrYI6 (GGA-PBE).

Cell lengths 8.899, 8.899, 8.900 Å; angles 60.00, 60.00, 90.00 degrees
Last column: magnetic moment on the atom in μB.
Fractional coordinates of all 10 atoms:
I (0.757, 0.243, 0.000)  0.00
I (0.757, 0.757, 0.487)  0.00
I (0.757, 0.757, 0.000)  0.00
I (0.243, 0.243, 0.000)  0.00
I (0.243, 0.757, 0.000)  0.00
I (0.243, 0.243, 0.513)  0.00
Sr (0.500, 0.500, 0.000)  0.04
Y (0.000, 0.000, 0.000)  0.45
Cs (0.750, 0.250, 0.500)  0.00
Cs (0.250, 0.750, 0.500)  0.00

Output
calculated volume = 49.8 Å³ per atom
crystal system = cubic
formation energy without anion corrections = -1.431 eV/atom
density of states at the Fermi level = 0.519 states/eV/atom

***

Entry from the Alexandria database: an optimized crystal structure of Ce3YCo8 (GGA-PBE).

Cell lengths 5.009, 5.009, 8.666 Å; angles 73.20, 73.20, 60.00 degrees
Fractional coordinates of all 12 atoms:
Ce (0.497, 0.497, 0.510)
Ce (0.373, 0.373, 0.881)
Ce (0.003, 0.003, 0.992)
Co (0.937, 0.438, 0.188)
Co (0.439, 0.937, 0.687)
Co (0.188, 0.188, 0.436)
Co (0.937, 0.937, 0.687)
Co (0.438, 0.937, 0.188)
Co (0.438, 0.438, 0.188)
Co (0.937, 0.439, 0.687)
Co (0.687, 0.687, 0.938)
Y (0.876, 0.876, 0.372)

Output
calculated volume = 14.8 Å³ per atom
crystal system = trigonal
ΔH_f (0 K) = -0.21 eV/atom
density of states at the Fermi level = 1.514 states/eV/atom

***

Entry from the Alexandria database: an optimized crystal structure of LiTbGa2Cu2 (GGA-PBE).

Cell lengths 4.279, 4.279, 6.416 Å; angles 90.00, 90.00, 120.00 degrees
Fractional coordinates of all 6 atoms:
Tb (0.000, 0.000, 0.000)
Cu (0.667, 0.333, 0.293)
Cu (0.333, 0.667, 0.707)
Li (0.000, 0.000, 0.500)
Ga (0.333, 0.667, 0.296)
Ga (0.667, 0.333, 0.704)

Output
calculated volume = 17.0 Å³ per atom
crystal system = trigonal
ΔH_f (0 K) = -0.38 eV/atom
density of states at the Fermi level = 0.475 states/eV/atom

***

Entry from the Alexandria database: an optimized crystal structure of Mg2InSe (GGA-PBE).

Cell lengths 5.040, 5.040, 6.447 Å; angles 65.49, 65.49, 42.25 degrees
Fractional coordinates of all 4 atoms:
Se (0.750, 0.750, 0.750)
In (0.250, 0.250, 0.250)
Mg (0.465, 0.465, 0.491)
Mg (0.035, 0.035, 0.009)

Output
calculated volume = 24.7 Å³ per atom
crystal system = monoclinic
ΔE to the lowest computed polymorph = 0.198 eV per atom
formation energy without anion corrections = -0.361 eV/atom
density of states at the Fermi level = 0.267 states/eV/atom

***

Entry from the Alexandria database: an optimized crystal structure of TmThZn (GGA-PBE).

Cell lengths 3.536, 3.536, 6.763 Å; angles 105.15, 105.15, 90.00 degrees
Fractional coordinates of all 3 atoms:
Tm (0.312, 0.312, 0.625)
Th (0.012, 0.012, 0.024)
Zn (0.675, 0.675, 0.351)

Output
calculated volume = 26.2 Å³ per atom
crystal system = tetragonal
ΔE to the lowest computed polymorph = 0.000 eV per atom
ΔH_f (0 K) = -0.15 eV/atom
density of states at the Fermi level = 0.836 states/eV/atom

***

Entry from the Alexandria database: an optimized crystal structure of NaLi8Sn2 (GGA-PBE).

Cell lengths 4.807, 6.445, 8.321 Å; angles 112.74, 106.79, 90.00 degrees
Fractional coordinates of all 11 atoms:
Li (0.000, 0.294, 0.000)
Li (0.333, 0.103, 0.665)
Li (0.177, 0.177, 0.354)
Li (0.667, 0.897, 0.335)
Li (0.333, 0.562, 0.665)
Li (0.667, 0.438, 0.335)
Li (0.823, 0.823, 0.646)
Li (0.000, 0.706, 0.000)
Na (0.500, 0.000, 0.000)
Sn (0.177, 0.677, 0.353)
Sn (0.823, 0.323, 0.647)

Output
calculated volume = 20.5 Å³ per atom
crystal system = orthorhombic
ΔH_f (0 K) = -0.23 eV/atom
density of states at the Fermi level = 0.276 states/eV/atom